(1)
## AcPr4In (GGA-PBE)

Data for a relaxed AcPr4In crystal.

space-group type = P4/mmm, No. 123
crystal system = tetragonal
ΔE_f = -0.8 eV/f.u.
energy relative to the lowest polymorph listed for this composition = 0 meV per atom
size of the total moment = 0.00 μB per atom

Cell: 3.8148 3.8148 14.7201 Å, 90.00 90.00 90.00°
With the nearest neighbours (Å) after each atom.
Fractional coordinates of all 6 atoms:
Ac: 0.0000 0.0000 0.0000  4 Ac 3.81, 8 Pr 3.85
Pr: 0.0000 0.0000 0.6392  4 In 3.39, 4 Pr 3.72
Pr: 0.5000 0.5000 0.1870  8 Pr 3.72-3.81, 4 Ac 3.85
Pr: 0.0000 0.0000 0.3608  4 In 3.39, 4 Pr 3.72
Pr: 0.5000 0.5000 0.8130  8 Pr 3.72-3.81, 4 Ac 3.85
In: 0.5000 0.5000 0.5000  8 Pr 3.39



(2)
## HfSiSbTe2 (GGA-PBE)

Data for a relaxed HfSiSbTe2 crystal.

formation energy without anion corrections = 0.4078 eV per atom
space-group type = P4/mmm, No. 123
crystal system = tetragonal
energy relative to the lowest polymorph listed for this composition = 0 meV per atom
size of the total moment = 0.00 μB per atom

Cell: 5.5158 5.1445 5.5158 Å, 90.00 90.00 90.00°
With the nearest neighbours (Å) after each atom.
Fractional coordinates of all 5 atoms:
Hf: 0.0000 0.0000 0.0000  2 Si 2.57, 4 Te 2.76
Si: 0.0000 0.5000 0.0000  2 Hf 2.57
Sb: 0.5000 0.5000 0.5000  8 Te 3.77, 4 Si 3.90
Te: 0.0000 0.0000 0.5000  2 Hf 2.76
Te: 0.5000 0.0000 0.0000  2 Hf 2.76



How do the records compare in uncorrected energy? In the order shown, they have -4.463; -4.749 eV per atom.